[1]
Computed, not measured: crystalline Cs3NdSb2Se6 at its relaxed geometry at the PBE level of DFT.

Summary:
ΔE_f (raw) = -98.4 kJ/mol of atoms

a = 7.5362 Å, b = 13.0535 Å, c = 8.7222 Å
α = 90.00°, β = 106.74°, γ = 90.00°
Space group C2/m (No. 12)
Unique sites:
Cs  0.0000  0.0000  0.0000 (multiplicity 2)
Cs  0.0000  0.3340  0.0000 (multiplicity 4)
Nd  0.0000  0.5000  0.5000 (multiplicity 2)
Sb  0.0000  0.1666  0.5000 (multiplicity 4)
Se  0.2231  0.0000  0.6873 (multiplicity 4)
Se  0.2323  0.3304  0.6879 (multiplicity 8)

=====

[2]
Computed, not measured: crystalline AgHg2As at its relaxed geometry at the PBE level of DFT.

a = 2.9658 Å, b = 5.5598 Å, c = 10.5906 Å
α = 90.00°, β = 90.00°, γ = 90.00°
Space group Immm (No. 71)
Unique sites:
Ag  0.0000  0.0000  0.0000 (multiplicity 2)
Hg  0.0000  0.5000  0.2573 (multiplicity 4)
As  0.0000  0.0000  0.5000 (multiplicity 2)

=====

[3]
Computed, not measured: crystalline Er6In3Au at its relaxed geometry at the PBE level of DFT.

a = 9.1131 Å, b = 5.2238 Å, c = 11.6764 Å
α = 90.00°, β = 107.95°, γ = 90.00°
Space group P2_1/m (No. 11)
Unique sites:
Er  0.0344  0.2500  0.4150 (multiplicity 2)
Er  0.1702  0.7500  0.1642 (multiplicity 2)
Er  0.2744  0.2500  0.0035 (multiplicity 2)
Er  0.3493  0.7500  0.8157 (multiplicity 2)
Er  0.3603  0.2500  0.3301 (multiplicity 2)
Er  0.3976  0.2500  0.6247 (multiplicity 2)
In  0.0229  0.7500  0.8785 (multiplicity 2)
In  0.1166  0.2500  0.7195 (multiplicity 2)
In  0.2759  0.7500  0.4661 (multiplicity 2)
Au  0.4642  0.7500  0.1185 (multiplicity 2)

=====

[4]
Computed, not measured: crystalline HfAg2Sb2 at its relaxed geometry at the PBE level of DFT.

Summary:
ΔE_f (raw) = 9.8 kJ/mol of atoms

a = 7.7259 Å, b = 7.7259 Å, c = 3.8172 Å
α = 90.00°, β = 90.00°, γ = 90.00°
Space group P4/mbm (No. 127)
Unique sites:
Hf  0.0000  0.0000  0.0000 (multiplicity 2)
Ag  0.1379  0.3621  0.5000 (multiplicity 4)
Sb  0.1622  0.6622  0.0000 (multiplicity 4)

=====

[5]
Computed, not measured: crystalline KPtCl2 at its relaxed geometry at the PBE level of DFT.

Summary:
relative energy among the computed polymorphs = 212.3 meV per atom
ΔE_f (raw) = -56.8 kJ/mol of atoms

a = 5.7051 Å, b = 5.7051 Å, c = 14.7669 Å
α = 90.00°, β = 90.00°, γ = 90.00°
Space group I-42d (No. 122)
Unique sites:
K  0.0000  0.0000  0.0000 (multiplicity 4)
Pt  0.0000  0.0000  0.5000 (multiplicity 4)
Cl  0.1419  0.2500  0.6250 (multiplicity 8)

=====

[6]
Computed, not measured: crystalline BaSbPb2 at its relaxed geometry at the PBE level of DFT.

Summary:
ΔE_f (raw) = -21.9 kJ/mol of atoms

a = 3.8169 Å, b = 3.8169 Å, c = 9.4772 Å
α = 90.00°, β = 90.00°, γ = 90.00°
Space group P4mm (No. 99)
Unique sites:
Ba  0.0000  0.0000  0.0000 (multiplicity 1)
Sb  0.5000  0.5000  0.7463 (multiplicity 1)
Pb  0.0000  0.0000  0.5155 (multiplicity 1)
Pb  0.5000  0.5000  0.2858 (multiplicity 1)

=====

[7]
Computed, not measured: crystalline AcDyTh2N4 at its relaxed geometry at the PBE level of DFT.

Summary:
ΔE_f (raw) = -139.1 kJ/mol of atoms

a = 6.3478 Å, b = 3.6839 Å, c = 6.4098 Å
α = 90.00°, β = 109.49°, γ = 90.00°
Space group P2/m (No. 10)
Unique sites:
Ac  0.0000  0.0000  0.0000 (multiplicity 1)
Dy  0.0000  0.5000  0.5000 (multiplicity 1)
Th  0.5000  0.0000  0.5000 (multiplicity 1)
Th  0.5000  0.5000  0.0000 (multiplicity 1)
N  0.2597  0.0000  0.7410 (multiplicity 2)
N  0.2726  0.5000  0.2700 (multiplicity 2)

=====

[8]
Computed, not measured: crystalline LiAg3Sn2 at its relaxed geometry at the PBE level of DFT.

Summary:
relative energy among the computed polymorphs = 0.0 meV per atom

a = 7.2934 Å, b = 7.3633 Å, c = 9.6261 Å
α = 90.00°, β = 112.18°, γ = 90.00°
Space group C2/c (No. 15)
Unique sites:
Li  0.0000  0.1677  0.2500 (multiplicity 4)
Ag  0.0000  0.4451  0.7500 (multiplicity 4)
Ag  0.2095  0.4047  0.0811 (multiplicity 8)
Sn  0.1236  0.1601  0.5910 (multiplicity 8)

=====

[9]
Computed, not measured: crystalline Pu2Si3Rh5 at its relaxed geometry at the PBE level of DFT.

Summary:
ΔE_f (raw) = -69.8 kJ/mol of atoms

a = 4.0520 Å, b = 24.8900 Å, c = 6.4731 Å
α = 90.00°, β = 90.00°, γ = 90.00°
Space group Cmc2_1 (No. 36)
Unique sites:
Pu  0.0000  0.0150  0.0000 (multiplicity 4)
Pu  0.0000  0.3254  0.9836 (multiplicity 4)
Si  0.0000  0.1118  0.2251 (multiplicity 4)
Si  0.0000  0.2732  0.4662 (multiplicity 4)
Si  0.0000  0.4450  0.2173 (multiplicity 4)
Rh  0.0000  0.1024  0.6454 (multiplicity 4)
Rh  0.0000  0.2075  0.1783 (multiplicity 4)
Rh  0.0000  0.2119  0.7562 (multiplicity 4)
Rh  0.0000  0.3701  0.4786 (multiplicity 4)
Rh  0.0000  0.4391  0.8393 (multiplicity 4)

=====

[10]
Computed, not measured: crystalline Ac4CoPd2 at its relaxed geometry at the PBE level of DFT.

Summary:
relative energy among the computed polymorphs = 0.0 meV per atom

a = 15.6748 Å, b = 4.4111 Å, c = 7.5460 Å
α = 90.00°, β = 118.44°, γ = 90.00°
Space group C2/m (No. 12)
Unique sites:
Ac  0.1193  0.0000  0.2726 (multiplicity 4)
Ac  0.1248  0.5000  0.8056 (multiplicity 4)
Co  0.0000  0.5000  0.0000 (multiplicity 2)
Pd  0.2438  0.0000  0.7420 (multiplicity 4)

=====

[11]
Computed, not measured: crystalline AlCdNi2 at its relaxed geometry at the PBE level of DFT.

a = 2.8711 Å, b = 2.8854 Å, c = 6.6237 Å
α = 90.00°, β = 90.16°, γ = 90.00°
Space group P2/m (No. 10)
Unique sites:
Al  0.0000  0.0000  0.0000 (multiplicity 1)
Cd  0.0000  0.0000  0.5000 (multiplicity 1)
Ni  0.4992  0.5000  0.7889 (multiplicity 2)

=====

[12]
Computed, not measured: crystalline Fe2AsW at its relaxed geometry at the PBE level of DFT.

a = 3.0456 Å, b = 4.1489 Å, c = 8.3262 Å
α = 90.00°, β = 90.00°, γ = 90.00°
Space group Immm (No. 71)
Unique sites:
Fe  0.0000  0.0000  0.2352 (multiplicity 4)
As  0.0000  0.5000  0.5000 (multiplicity 2)
W  0.0000  0.5000  0.0000 (multiplicity 2)

=====

| no. | final energy (Ha/atom) | spin magnetization (μB per formula unit) |
| --- | --- | --- |
| 1 | -0.1492 | 0.0 |
| 2 | -0.0654 | 0.0 |
| 3 | -0.1587 | 0.0 |
| 4 | -0.1719 | 0.0 |
| 5 | -0.1211 | 0.0 |
| 6 | -0.1320 | 0.0 |
| 7 | -0.3141 | 0.0 |
| 8 | -0.1168 | 0.0 |
| 9 | -0.3268 | 10.3 |
| 10 | -0.1935 | 0.0 |
| 11 | -0.1611 | 0.0 |
| 12 | -0.3097 | 2.8 |